Entry 1:
# LiPmPtAu

A relaxed structure of LiPmPtAu (PBE, Alexandria via LeMat-Bulk).

a = 4.4429 Å, b = 4.4429 Å, c = 5.4519 Å
α = 114.29°, β = 114.29°, γ = 60.17°
Fractional positions:
Li  0.0000  0.0000  0.0000
Pm  0.4914  0.4914  0.4738
Pt  0.7115  0.7115  0.1345
Au  0.2786  0.2786  0.8343

Summary:
ΔE_f = -0.801 eV/atom
Polymorph energy (0 for the lowest one) = 0.00 eV per formula unit

Entry 2:
# LiPmPtAu

A relaxed structure of LiPmPtAu (PBE, Alexandria via LeMat-Bulk).

a = 4.8785 Å, b = 4.8785 Å, c = 4.8785 Å
α = 60.00°, β = 60.00°, γ = 60.00°
Fractional positions:
Li  0.0000  0.0000  0.0000
Pm  0.5000  0.5000  0.5000
Pt  0.7500  0.7500  0.7500
Au  0.2500  0.2500  0.2500

Summary:
ΔE_f = -0.737 eV/atom
Polymorph energy (0 for the lowest one) = 0.26 eV per formula unit

Entry 3:
# Li2PmSb2Au2

A relaxed structure of Li2PmSb2Au2 (PBE, Alexandria via LeMat-Bulk).

a = 8.7436 Å, b = 8.7436 Å, c = 8.7436 Å
α = 30.19°, β = 30.19°, γ = 30.19°
Fractional positions:
Li  0.1440  0.1440  0.1440
Li  0.8560  0.8560  0.8560
Pm  0.0000  0.0000  0.0000
Sb  0.2605  0.2605  0.2605
Sb  0.7395  0.7395  0.7395
Au  0.4423  0.4423  0.4423
Au  0.5577  0.5577  0.5577

Summary:
Formation energy without anion corrections = -0.687 eV/atom

Entry 4:
# LiPmScAu

A relaxed structure of LiPmScAu (PBE, Alexandria via LeMat-Bulk).

a = 5.0342 Å, b = 5.0342 Å, c = 5.0342 Å
α = 60.00°, β = 60.00°, γ = 60.00°
Fractional positions:
Li  0.0000  0.0000  0.0000
Pm  0.7500  0.7500  0.7500
Sc  0.2500  0.2500  0.2500
Au  0.5000  0.5000  0.5000

Summary:
ΔE_f = -0.351 eV/atom

Entry 5:
# Li2PmSi2Au2

A relaxed structure of Li2PmSi2Au2 (PBE, Alexandria via LeMat-Bulk).

a = 8.4291 Å, b = 8.4291 Å, c = 8.4291 Å
α = 29.36°, β = 29.36°, γ = 29.36°
Fractional positions:
Li  0.1414  0.1414  0.1414
Li  0.8586  0.8586  0.8586
Pm  0.0000  0.0000  0.0000
Si  0.2534  0.2534  0.2534
Si  0.7466  0.7466  0.7466
Au  0.4268  0.4268  0.4268
Au  0.5732  0.5732  0.5732

Summary:
Formation energy without anion corrections = -0.610 eV/atom

Entry 6:
# LiPm2Si3Au4

A relaxed structure of LiPm2Si3Au4 (PBE, Alexandria via LeMat-Bulk).

a = 4.3668 Å, b = 4.3668 Å, c = 10.0805 Å
α = 90.00°, β = 90.00°, γ = 90.00°
Fractional positions:
Li  0.0000  0.0000  0.0000
Pm  0.0000  0.5000  0.7466
Pm  0.5000  0.0000  0.2534
Si  0.0000  0.5000  0.3615
Si  0.5000  0.0000  0.6385
Si  0.5000  0.5000  0.0000
Au  0.0000  0.0000  0.5000
Au  0.0000  0.5000  0.1211
Au  0.5000  0.0000  0.8789
Au  0.5000  0.5000  0.5000

Summary:
Formation energy without anion corrections = -0.643 eV/atom